# 1
VASP calculation (PBE) on a relaxed Re4RuAu crystal.

Values from the calculation:
- symmetry = F-43m, No. 216
- Fermi-level density of states (states/eV/atom) = 0.56
- uncorrected energy (eV/atom) = -9.812

Structure (POSCAR):
```
Re4RuAu
1.0
0.000 3.649 3.649
3.649 0.000 3.649
3.649 3.649 0.000
Ru Re Au
1 4 1
direct
0.750 0.750 0.750 Ru
0.374 0.877 0.374 Re
0.877 0.374 0.374 Re
0.374 0.374 0.374 Re
0.374 0.374 0.877 Re
0.000 0.000 0.000 Au
```

---

# 2
VASP calculation (PBE) on a relaxed Re3RuAu crystal.

Values from the calculation:
- symmetry = Pm-3m, No. 221
- Fermi-level density of states (states/eV/atom) = 1.70
- uncorrected energy (eV/atom) = -6.746

Structure (POSCAR):
```
Re3RuAu
1.0
-0.661 -4.529 1.165
4.622 -0.454 0.856
-0.709 1.260 4.496
Re Au Ru
3 1 1
direct
0.000 0.000 0.500 Re
0.500 0.000 0.000 Re
0.000 0.500 0.000 Re
0.000 0.000 0.000 Au
0.500 0.500 0.500 Ru
```

---

# 3
VASP calculation (PBE) on a relaxed ReRuAu4 crystal.

Values from the calculation:
- symmetry = F-43m, No. 216
- Fermi-level density of states (states/eV/atom) = 1.10
- uncorrected energy (eV/atom) = -4.829

Structure (POSCAR):
```
ReRuAu4
1.0
0.000 3.779 3.779
3.779 0.000 3.779
3.779 3.779 0.000
Re Au Ru
1 4 1
direct
0.250 0.250 0.250 Re
0.125 0.625 0.625 Au
0.625 0.125 0.625 Au
0.625 0.625 0.625 Au
0.625 0.625 0.125 Au
0.000 0.000 0.000 Ru
```

---

# 4
VASP calculation (PBE) on a relaxed Re2Ru2Au crystal.

Values from the calculation:
- symmetry = P4/mbm, No. 127
- Fermi-level density of states (states/eV/atom) = 0.68
- uncorrected energy (eV/atom) = -9.084
- energy above the most stable polymorph in this dataset (meV/atom) = 10

Structure (POSCAR):
```
Re2Ru2Au
1.0
7.571 0.000 0.000
0.000 7.571 0.000
0.000 0.000 2.745
Ru Re Au
4 4 2
direct
0.374 0.874 0.000 Ru
0.874 0.626 0.000 Ru
0.626 0.126 0.000 Ru
0.126 0.374 0.000 Ru
0.165 0.665 0.500 Re
0.835 0.335 0.500 Re
0.335 0.165 0.500 Re
0.665 0.835 0.500 Re
0.500 0.500 0.000 Au
0.000 0.000 0.000 Au
```

---

# 5
VASP calculation (PBE) on a relaxed Re2Ru2Au crystal.

Values from the calculation:
- symmetry = P4/mbm, No. 127
- Fermi-level density of states (states/eV/atom) = 0.78
- uncorrected energy (eV/atom) = -9.094
- energy above the most stable polymorph in this dataset (meV/atom) = 0

Structure (POSCAR):
```
Re2Ru2Au
1.0
7.603 0.000 0.000
0.000 7.603 0.000
0.000 0.000 2.751
Au Re Ru
2 4 4
direct
0.500 0.500 0.000 Au
0.000 0.000 0.000 Au
0.621 0.121 0.000 Re
0.121 0.379 0.000 Re
0.379 0.879 0.000 Re
0.879 0.621 0.000 Re
0.834 0.334 0.500 Ru
0.666 0.834 0.500 Ru
0.334 0.166 0.500 Ru
0.166 0.666 0.500 Ru
```

---

# 6
VASP calculation (PBE) on a relaxed Re2SnRuAu crystal.

Values from the calculation:
- symmetry = P4/mmm, No. 123
- Fermi-level density of states (states/eV/atom) = 1.25
- uncorrected energy (eV/atom) = -5.613

Structure (POSCAR):
```
Re2SnRuAu
1.0
4.918 0.000 0.000
0.000 4.872 0.000
0.000 0.000 4.918
Ru Au Re Sn
1 1 2 1
direct
0.500 0.500 0.500 Ru
0.000 0.000 0.000 Au
0.500 0.000 0.000 Re
0.000 0.000 0.500 Re
0.000 0.500 0.000 Sn
```

---

# 7
VASP calculation (PBE) on a relaxed TlReRu2Au crystal.

Values from the calculation:
- symmetry = P4/mmm, No. 123
- Fermi-level density of states (states/eV/atom) = 1.08
- uncorrected energy (eV/atom) = -5.857

Structure (POSCAR):
```
TlReRu2Au
1.0
4.667 0.000 0.000
0.000 5.259 0.000
0.000 0.000 4.667
Ru Au Re Tl
2 1 1 1
direct
0.500 0.000 0.000 Ru
0.000 0.000 0.500 Ru
0.500 0.500 0.500 Au
0.000 0.000 0.000 Re
0.000 0.500 0.000 Tl
```

---

# 8
VASP calculation (PBE) on a relaxed VRe2RuAu crystal.

Values from the calculation:
- symmetry = P4/mmm, No. 123
- Fermi-level density of states (states/eV/atom) = 2.65
- uncorrected energy (eV/atom) = -6.424

Structure (POSCAR):
```
VRe2RuAu
1.0
-1.067 3.485 -3.035
2.269 -2.337 -3.481
-4.033 -2.224 -1.136
V Ru Re Au
1 1 2 1
direct
0.500 0.500 0.500 V
0.000 0.500 0.000 Ru
0.000 0.000 0.500 Re
0.500 0.000 0.000 Re
0.000 0.000 0.000 Au
```

---

Calculated volume, record by record: 97.1 105.3 107.9 157.4 159.0 117.8 114.5 107.3 Å³ per cell